## Ca6Hg2N (PBE)

Data for an optimized crystal structure of Ca6Hg2N.

Summary:
Energy relative to the elements, uncorrected in eV per atom: -0.415
Polymorph energy (0 for the lowest one) in eV/atom: 0.114
DOS at the Fermi energy in states/eV per cell: 9.80

Lattice parameters (Å, degrees): 6.875 6.875 12.206 90.00 90.00 90.00
Space group P4_2/mnm (No. 136)
One atom of each set of equivalent atoms:
Ca 0.184 0.184 0.148 (multiplicity 8)
Ca 0.246 0.754 0.000 (multiplicity 4)
Hg 0.000 0.000 0.354 (multiplicity 4)
N 0.000 0.000 0.000 (multiplicity 2)

## PrNd2HoTm (PBE)

Data for an optimized crystal structure of PrNd2HoTm.

Summary:
DFT formation energy in eV/atom: 0.28
DOS at the Fermi energy in states/eV per cell: 11.35

Lattice parameters (Å, degrees): 8.274 6.757 6.212 90.00 90.21 90.00
Space group P2/c (No. 13)
One atom of each set of equivalent atoms:
Pr 0.000 0.000 0.000 (multiplicity 2)
Nd 0.306 0.311 0.249 (multiplicity 4)
Ho 0.500 0.157 0.750 (multiplicity 2)
Tm 0.000 0.421 0.750 (multiplicity 2)

## DyTl2As2Pd7 (PBE)

Data for an optimized crystal structure of DyTl2As2Pd7.

Summary:
DFT formation energy in eV/atom: -0.45
DOS at the Fermi energy in states/eV per cell: 11.03

Lattice parameters (Å, degrees): 5.740 5.719 14.684 90.00 96.34 90.00
Space group C2/m (No. 12)
One atom of each set of equivalent atoms:
Dy 0.000 0.000 0.000 (multiplicity 2)
Tl 0.102 0.000 0.401 (multiplicity 4)
As 0.072 0.500 0.246 (multiplicity 4)
Pd 0.000 0.500 0.000 (multiplicity 2)
Pd 0.098 0.500 0.414 (multiplicity 4)
Pd 0.207 0.251 0.853 (multiplicity 8)

## YReSbI2 (PBE)

Data for an optimized crystal structure of YReSbI2.

Summary:
Energy relative to the elements, uncorrected in eV per atom: 0.883
Polymorph energy (0 for the lowest one) in eV/atom: 0.306
DOS at the Fermi energy in states/eV per cell: 2.38

Lattice parameters (Å, degrees): 5.832 5.832 6.152 90.00 90.00 90.00
Space group P4/mmm (No. 123)
One atom of each set of equivalent atoms:
Y 0.000 0.000 0.000 (multiplicity 1)
Re 0.500 0.500 0.500 (multiplicity 1)
Sb 0.000 0.000 0.500 (multiplicity 1)
I 0.000 0.500 0.000 (multiplicity 2)

## PuCuSnRh (PBE)

Data for an optimized crystal structure of PuCuSnRh.

Summary:
DFT formation energy in eV/atom: -0.27
DOS at the Fermi energy in states/eV per cell: 40.62

Lattice parameters (Å, degrees): 6.722 6.722 6.722 90.00 90.00 90.00
Space group F-43m (No. 216)
One atom of each set of equivalent atoms:
Pu 0.000 0.000 0.000 (multiplicity 4)
Cu 0.250 0.250 0.750 (multiplicity 4)
Sn 0.000 0.000 0.500 (multiplicity 4)
Rh 0.250 0.250 0.250 (multiplicity 4)

## Pr6Te3Se2 (PBE)

Data for an optimized crystal structure of Pr6Te3Se2.

Summary:
Energy relative to the elements, uncorrected in eV per atom: -1.412
DOS at the Fermi energy in states/eV per cell: 20.63

Lattice parameters (Å, degrees): 4.3362 4.3362 65.0794 90.00 90.00 120.00
Space group R-3m (No. 166, hexagonal axes)
One atom of each set of equivalent atoms:
Pr 0.0000 0.0000 0.0921 (multiplicity 6)
Pr 0.0000 0.0000 0.1905 (multiplicity 6)
Pr 0.0000 0.0000 0.3626 (multiplicity 6)
Te 0.0000 0.0000 0.0000 (multiplicity 3)
Te 0.0000 0.0000 0.2727 (multiplicity 6)
Se 0.0000 0.0000 0.4509 (multiplicity 6)